Entry 1:
Density functional theory data (GGA-PBE) for an optimized crystal structure of CrMo2.

The structure in POSCAR format:
```
CrMo2
1.0
-2.946 2.946 2.582
2.946 -2.946 2.582
2.946 2.946 -2.582
Cr Mo
2 4
Direct
0.250 0.250 0.000
0.750 0.750 0.000
0.163 0.663 0.827
0.337 0.163 0.500
0.663 0.837 0.500
0.837 0.337 0.173
```

## Properties
The calculation puts the spin magnetization at 0.000 μB/atom. The calculation puts the formation enthalpy at 0 K at 84 kJ/mol of formula units. For the energy above the most stable polymorph in this dataset, the calculation gives 0.239 eV/atom. Its space group is I4/mcm.

Entry 2:
Density functional theory data (GGA-PBE) for an optimized crystal structure of SmMg2AgHg4.

The structure in POSCAR format:
```
SmMg2AgHg4
1.0
2.427 1.401 8.874
-2.427 1.401 8.874
0.000 -2.803 8.874
Sm Mg Ag Hg
1 2 1 4
Direct
0.000 0.000 0.000
0.242 0.242 0.242
0.758 0.758 0.758
0.500 0.500 0.500
0.125 0.125 0.125
0.385 0.385 0.385
0.615 0.615 0.615
0.875 0.875 0.875
```

## Properties
The calculation puts the spin magnetization at 0.000 μB/atom. The calculation puts the formation enthalpy at 0 K at -198 kJ/mol of formula units. Its space group is R-3m.

Entry 3:
Density functional theory data (GGA-PBE) for an optimized crystal structure of LiIrRu.

The structure in POSCAR format:
```
LiIrRu
1.0
6.843 0.000 0.000
0.000 4.088 0.000
0.000 0.000 7.125
Li Ir Ru
4 4 4
Direct
0.003 0.250 0.170
0.497 0.750 0.670
0.503 0.250 0.330
0.997 0.750 0.830
0.178 0.750 0.403
0.322 0.250 0.903
0.678 0.750 0.097
0.822 0.250 0.597
0.172 0.250 0.595
0.328 0.750 0.095
0.672 0.250 0.905
0.828 0.750 0.405
```

## Properties
The calculation puts the spin magnetization at 0.000 μB/atom. The calculation puts the formation enthalpy at 0 K at 42 kJ/mol of formula units. For the energy above the most stable polymorph in this dataset, the calculation gives 0.163 eV/atom. Its space group is Pnma.

Entry 4:
Density functional theory data (GGA-PBE) for an optimized crystal structure of MgCd2Mo.

The structure in POSCAR format:
```
MgCd2Mo
1.0
0.000 3.395 3.395
3.395 0.000 3.395
3.395 3.395 0.000
Mg Cd Mo
1 2 1
Direct
0.000 0.000 0.000
0.500 0.500 0.500
0.750 0.750 0.750
0.250 0.250 0.250
```

## Properties
The calculation puts the spin magnetization at 0.611 μB/atom. The calculation puts the formation enthalpy at 0 K at 181 kJ/mol of formula units. Its space group is F-43m.